(1)
# PBE-GGA La4PrHo5, relaxed
# **Density**: 7.44 g/cm³
# **DOS at the Fermi energy**: 1.61 states/eV per atom
# **Spin magnetization**: 0.00 μB/f.u.
data_La4PrHo5
_cell_length_a 3.6806
_cell_length_b 3.6806
_cell_length_c 25.0592
_cell_angle_alpha 90.00
_cell_angle_beta 90.00
_cell_angle_gamma 90.00
_space_group_name_H-M_alt 'P 4/m m m'
_space_group_IT_number 123
_space_group_name_Hall '-P 4 2'
loop_
_atom_site_label
_atom_site_type_symbol
_atom_site_fract_x
_atom_site_fract_y
_atom_site_fract_z
La1 La 0.0000 0.0000 0.0998
La2 La 0.0000 0.0000 0.2998
Pr1 Pr 0.0000 0.0000 0.5000
Ho1 Ho 0.5000 0.5000 0.0000
Ho2 Ho 0.5000 0.5000 0.1999
Ho3 Ho 0.5000 0.5000 0.4006


(2)
# PBE-GGA La4PrHo5, relaxed
# **Density**: 7.14 g/cm³
# **DOS at the Fermi energy**: 1.53 states/eV per atom
# **Spin magnetization**: 0.00 μB/f.u.
data_La4PrHo5
_cell_length_a 17.2426
_cell_length_b 3.5558
_cell_length_c 11.5328
_cell_angle_alpha 90.00
_cell_angle_beta 90.35
_cell_angle_gamma 90.00
_space_group_name_H-M_alt 'C 1 2/m 1'
_space_group_IT_number 12
loop_
_space_group_symop_operation_xyz
'x,y,z'
'-x,-y,-z'
'-x,y,-z'
'x,-y,z'
'x+1/2,y+1/2,z'
'-x+1/2,-y+1/2,-z'
'-x+1/2,y+1/2,-z'
'x+1/2,-y+1/2,z'
loop_
_atom_site_label
_atom_site_type_symbol
_atom_site_fract_x
_atom_site_fract_y
_atom_site_fract_z
La1 La 0.0340 0.0000 0.2473
La2 La 0.1618 0.5000 0.7494
Pr1 Pr 0.0000 0.5000 0.5000
Ho1 Ho 0.0000 0.5000 0.0000
Ho2 Ho 0.1724 0.0000 0.0448
Ho3 Ho 0.1746 0.0000 0.4485


Verdict on stability: (2) comes out at the bottom.


(1)
# PBE-GGA LaPrHo5, relaxed
# **Density**: 6.17 g/cm³
# **DOS at the Fermi energy**: 1.53 states/eV per atom
# **Spin magnetization**: 0.02 μB/f.u.
data_LaPrHo5
_cell_length_a 5.7774
_cell_length_b 8.6794
_cell_length_c 11.8468
_cell_angle_alpha 90.00
_cell_angle_beta 90.00
_cell_angle_gamma 90.00
_space_group_name_H-M_alt 'I m m m'
_space_group_IT_number 71
_space_group_name_Hall '-I 2 2'
loop_
_atom_site_label
_atom_site_type_symbol
_atom_site_fract_x
_atom_site_fract_y
_atom_site_fract_z
La1 La 0.0000 0.0000 0.0000
Pr1 Pr 0.0000 0.0000 0.5000
Ho1 Ho 0.0000 0.0000 0.2527
Ho2 Ho 0.0000 0.3214 0.5000
Ho3 Ho 0.0000 0.5000 0.0000


(2)
# PBE-GGA LaPrHo5, relaxed
# **Density**: 7.87 g/cm³
# **DOS at the Fermi energy**: 1.43 states/eV per atom
# **Spin magnetization**: 0.00 μB/f.u.
data_LaPrHo5
_cell_length_a 11.7236
_cell_length_b 6.9101
_cell_length_c 12.1490
_cell_angle_alpha 90.00
_cell_angle_beta 108.74
_cell_angle_gamma 90.00
_space_group_name_H-M_alt 'C 1 2/c 1'
_space_group_IT_number 15
loop_
_space_group_symop_operation_xyz
'x,y,z'
'-x,-y,-z'
'-x,y,-z+1/2'
'x,-y,z+1/2'
'x+1/2,y+1/2,z'
'-x+1/2,-y+1/2,-z'
'-x+1/2,y+1/2,-z+1/2'
'x+1/2,-y+1/2,z+1/2'
loop_
_atom_site_label
_atom_site_type_symbol
_atom_site_fract_x
_atom_site_fract_y
_atom_site_fract_z
La1 La 0.0000 0.0264 0.2500
Pr1 Pr 0.2500 0.2500 0.0000
Ho1 Ho 0.0000 0.4092 0.7500
Ho2 Ho 0.0800 0.2845 0.4985
Ho3 Ho 0.2212 0.3613 0.2548


Verdict on stability: (1) comes out at the bottom.


(1)
# PBE-GGA LaPr4Ho, relaxed
# **Density**: 6.74 g/cm³
# **DOS at the Fermi energy**: 1.72 states/eV per atom
# **Spin magnetization**: 0.00 μB/f.u.
data_LaPr4Ho
_cell_length_a 5.2322
_cell_length_b 15.7484
_cell_length_c 5.1891
_cell_angle_alpha 90.00
_cell_angle_beta 90.00
_cell_angle_gamma 90.00
_space_group_name_H-M_alt 'C m m m'
_space_group_IT_number 65
_space_group_name_Hall '-C 2 2'
loop_
_atom_site_label
_atom_site_type_symbol
_atom_site_fract_x
_atom_site_fract_y
_atom_site_fract_z
La1 La 0.0000 0.0000 0.0000
Pr1 Pr 0.0000 0.1660 0.5000
Pr2 Pr 0.0000 0.3342 0.0000
Ho1 Ho 0.0000 0.5000 0.5000


(2)
# PBE-GGA LaPr4Ho, relaxed
# **Density**: 6.77 g/cm³
# **DOS at the Fermi energy**: 1.90 states/eV per atom
# **Spin magnetization**: 0.00 μB/f.u.
data_LaPr4Ho
_cell_length_a 11.3536
_cell_length_b 6.1180
_cell_length_c 7.1905
_cell_angle_alpha 90.00
_cell_angle_beta 121.60
_cell_angle_gamma 90.00
_space_group_name_H-M_alt 'C 1 2/m 1'
_space_group_IT_number 12
loop_
_space_group_symop_operation_xyz
'x,y,z'
'-x,-y,-z'
'-x,y,-z'
'x,-y,z'
'x+1/2,y+1/2,z'
'-x+1/2,-y+1/2,-z'
'-x+1/2,y+1/2,-z'
'x+1/2,-y+1/2,z'
loop_
_atom_site_label
_atom_site_type_symbol
_atom_site_fract_x
_atom_site_fract_y
_atom_site_fract_z
La1 La 0.0000 0.0000 0.0000
Pr1 Pr 0.1587 0.5000 0.5028
Pr2 Pr 0.1755 0.5000 0.0178
Ho1 Ho 0.0000 0.0000 0.5000


Verdict on stability: (2) comes out at the bottom.